No. 1
Material: Fe2AgP
Method: DFT, PBE-GGA
State: optimized geometry

As for the density: 7.84 g cm⁻³. For the formation energy, the calculation gives 0.1210 eV per atom.

It has space group P2/m (No. 10), with a = 2.765 Å, b = 3.275 Å, c = 5.935 Å, α = 90.00°, β = 99.20° and γ = 90.00°. The inequivalent atoms are Fe at (0.112, 0.000, 0.310), Ag at (0.500, 0.500, 0.000) and P at (0.500, 0.500, 0.500).



No. 2
Material: FeAgP2
Method: DFT, PBE-GGA
State: optimized geometry

As for the energy above the most stable polymorph in this dataset: 0.61 kJ per mole of atoms. As for the density: 6.36 g cm⁻³. For the formation energy, the calculation gives 0.0167 eV per atom.

It has space group R-3m (No. 166, hexagonal axes), with a = 2.9922 Å, b = 2.9922 Å, c = 22.7898 Å, α = 90.00°, β = 90.00° and γ = 120.00°. The inequivalent atoms are Fe at (0.0000, 0.0000, 0.0000), Ag at (0.0000, 0.0000, 0.5000) and P at (0.0000, 0.0000, 0.2666).



Values of spin magnetization, in order: 3.1; 1.5, all in μB per formula unit.